Entry from the Alexandria database: La6CoAg2 after structural relaxation (PBE-GGA).

a = 7.060 Å, b = 7.580 Å, c = 10.651 Å
α = 90.00°, β = 92.71°, γ = 90.00°
Positions (direct):
La (0.682, 0.192, 0.947)
Ag (0.950, 0.410, 0.762)
La (0.182, 0.308, 0.447)
La (0.882, 0.980, 0.249)
La (0.195, 0.305, 0.051)
Co (0.500, 0.500, 0.000)
Co (0.000, 0.000, 0.500)
La (0.318, 0.808, 0.053)
La (0.805, 0.695, 0.949)
La (0.618, 0.480, 0.251)
La (0.382, 0.520, 0.749)
Ag (0.450, 0.090, 0.262)
Ag (0.550, 0.910, 0.738)
La (0.305, 0.805, 0.449)
La (0.818, 0.692, 0.553)
La (0.695, 0.195, 0.551)
Ag (0.050, 0.590, 0.238)
La (0.118, 0.020, 0.751)

Output
- DOS at the Fermi energy (states/eV/f.u.) = 11.50
- total magnetization (Bohr magnetons per cell) = 0.0
- E_tot (eV per atom) = -4.846
- space-group type = No. 14